Compound: Tm2GePb
Source: Alexandria
Functional: PBE-GGA
Structure: optimized geometry

a b c (Å): 3.974 3.974 8.386
angles (deg): 76.29 76.29 60.00
Element x y z (fractional)
Tm 0.734 0.734 0.798
Tm 0.266 0.266 0.202
Pb 0.500 0.500 0.500
Ge 0.000 0.000 0.000

Values from the calculation:
* symmetry: R-3m
* calculated volume: 27.59 A^3/atom
* E_tot: -4.85 eV per atom
* density of states at the Fermi level: 4.2 states/eV/f.u.